Record 1
{"formula": "Al2CoBr", "functional": "PBE-GGA", "state": "optimized geometry", "crystal_system": "tetragonal", "magmom_total_mub_per_fu": 1.06, "e_form_raw_ev_per_fu": 0.78, "lattice_angstrom": [[3.139, 0.000, 0.000], [0.000, 3.139, 0.000], [0.000, 0.000, 7.534]], "species": ["Al", "Al", "Co", "Br"], "frac_coords": [[0.000, 0.000, 0.000], [0.500, 0.500, 0.226], [0.500, 0.500, 0.855], [0.000, 0.000, 0.630]]}


Record 2
{"formula": "K2P2Se", "functional": "PBE-GGA", "state": "optimized geometry", "crystal_system": "tetragonal", "magmom_total_mub_per_fu": 0.00, "e_form_raw_ev_per_fu": -1.47, "lattice_angstrom": [[8.806, 0.000, 0.000], [0.000, 8.806, 0.000], [0.000, 0.000, 3.838]], "species": ["K", "K", "K", "K", "P", "P", "P", "P", "Se", "Se"], "frac_coords": [[0.212, 0.288, 0.000], [0.288, 0.788, 0.000], [0.712, 0.212, 0.000], [0.788, 0.712, 0.000], [0.079, 0.579, 0.500], [0.421, 0.079, 0.500], [0.579, 0.921, 0.500], [0.921, 0.421, 0.500], [0.000, 0.000, 0.500], [0.500, 0.500, 0.500]]}


Record 3
{"formula": "HfMo", "functional": "PBE-GGA", "state": "optimized geometry", "crystal_system": "cubic", "magmom_total_mub_per_fu": 0.00, "ef_ev_per_atom": -0.0014, "lattice_angstrom": [[3.317, 0.000, 0.000], [0.000, 3.317, 0.000], [0.000, 0.000, 3.317]], "species": ["Hf", "Mo"], "frac_coords": [[0.000, 0.000, 0.000], [0.500, 0.500, 0.500]]}


Record 4
{"formula": "K2BaMo", "functional": "PBE-GGA", "state": "optimized geometry", "crystal_system": "orthorhombic", "magmom_total_mub_per_fu": 3.83, "ef_ev_per_atom": 1.2150, "lattice_angstrom": [[3.626, -6.701, 0.000], [3.626, 6.701, 0.000], [0.000, 0.000, 3.845]], "species": ["K", "K", "Ba", "Mo"], "frac_coords": [[0.000, 0.500, 0.000], [0.500, 0.000, 0.000], [0.000, 0.000, 0.500], [0.500, 0.500, 0.500]]}


Record 5
{"formula": "Ac2Ni4Ge3Pb", "functional": "PBE-GGA", "state": "optimized geometry", "crystal_system": "tetragonal", "magmom_total_mub_per_fu": 0.00, "ef_ev_per_atom": -0.5050, "lattice_angstrom": [[4.379, 0.000, 0.000], [0.000, 4.379, 0.000], [0.000, 0.000, 10.196]], "species": ["Ac", "Ac", "Ni", "Ni", "Ni", "Ni", "Ge", "Ge", "Ge", "Pb"], "frac_coords": [[0.000, 0.500, 0.234], [0.500, 0.000, 0.766], [0.000, 0.000, 0.000], [0.000, 0.500, 0.647], [0.500, 0.000, 0.353], [0.500, 0.500, 0.000], [0.000, 0.500, 0.886], [0.500, 0.000, 0.114], [0.500, 0.500, 0.500], [0.000, 0.000, 0.500]]}


Record 6
{"formula": "Ba3AsI", "functional": "PBE-GGA", "state": "optimized geometry", "crystal_system": "cubic", "magmom_total_mub_per_fu": 0.00, "e_form_raw_ev_per_fu": -4.06, "lattice_angstrom": [[6.406, 0.000, 0.000], [0.000, 6.406, 0.000], [0.000, 0.000, 6.406]], "species": ["Ba", "Ba", "Ba", "As", "I"], "frac_coords": [[0.000, 0.000, 0.500], [0.000, 0.500, 0.000], [0.500, 0.000, 0.000], [0.000, 0.000, 0.000], [0.500, 0.500, 0.500]]}


> What is the formula in the second record?

K2P2Se